Record 1
A plane-wave DFT calculation with PBE was carried out for Er4AsC after structural relaxation.

a b c (Å): 8.215 8.215 6.373
angles (deg): 105.21 105.21 123.74
Fractional coordinates of all 12 atoms:
Er: 0.001 0.621 0.790
Er: 0.165 0.276 0.715
Er: 0.276 0.165 0.215
Er: 0.379 0.999 0.710
Er: 0.621 0.001 0.290
Er: 0.724 0.835 0.785
Er: 0.835 0.724 0.285
Er: 0.999 0.379 0.210
As: 0.418 0.582 0.250
As: 0.582 0.418 0.750
C: 0.064 0.936 0.750
C: 0.936 0.064 0.250

M_tot   0.00 μB per cell
ΔH_f (0 K)   -0.57 eV/atom
DFT total energy   -5.93 eV per atom

***

Record 2
A plane-wave DFT calculation with PBE was carried out for Er5As2C after structural relaxation.

a b c (Å): 6.445 6.445 12.907
angles (deg): 90.00 90.00 129.71
Fractional coordinates of all 16 atoms:
Er: 0.061 0.939 0.626
Er: 0.061 0.939 0.874
Er: 0.297 0.703 0.250
Er: 0.350 0.650 0.608
Er: 0.350 0.650 0.892
Er: 0.650 0.350 0.108
Er: 0.650 0.350 0.392
Er: 0.703 0.297 0.750
Er: 0.939 0.061 0.126
Er: 0.939 0.061 0.374
As: 0.175 0.825 0.064
As: 0.175 0.825 0.436
As: 0.825 0.175 0.564
As: 0.825 0.175 0.936
C: 0.212 0.788 0.750
C: 0.788 0.212 0.250

M_tot   0.00 μB per cell
ΔH_f (0 K)   -0.63 eV/atom
DFT total energy   -5.80 eV per atom

***

Record 3
A plane-wave DFT calculation with PBE was carried out for Er6AsC3 after structural relaxation.

a b c (Å): 10.309 3.652 12.259
angles (deg): 90.00 114.07 90.00
Fractional coordinates of all 20 atoms:
Er: 0.020 0.250 0.255
Er: 0.143 0.750 0.575
Er: 0.182 0.750 0.092
Er: 0.331 0.750 0.391
Er: 0.349 0.250 0.925
Er: 0.476 0.250 0.223
Er: 0.524 0.750 0.777
Er: 0.651 0.750 0.075
Er: 0.669 0.250 0.609
Er: 0.818 0.250 0.908
Er: 0.857 0.250 0.425
Er: 0.980 0.750 0.745
As: 0.373 0.250 0.585
As: 0.627 0.750 0.415
C: 0.010 0.250 0.630
C: 0.248 0.250 0.240
C: 0.408 0.750 0.070
C: 0.592 0.250 0.930
C: 0.752 0.750 0.760
C: 0.990 0.750 0.370

M_tot   2.74 μB per cell
ΔH_f (0 K)   -0.52 eV/atom
DFT total energy   -6.49 eV per atom

***

Record 4
A plane-wave DFT calculation with PBE was carried out for Er3As2C after structural relaxation.

a b c (Å): 6.828 6.828 6.617
angles (deg): 99.63 99.63 118.85
Fractional coordinates of all 12 atoms:
Er: 0.000 0.500 0.500
Er: 0.137 0.284 0.004
Er: 0.284 0.137 0.504
Er: 0.500 0.000 0.000
Er: 0.716 0.863 0.496
Er: 0.863 0.716 0.996
As: 0.259 0.741 0.250
As: 0.418 0.582 0.750
As: 0.582 0.418 0.250
As: 0.741 0.259 0.750
C: 0.077 0.923 0.750
C: 0.923 0.077 0.250

M_tot   0.00 μB per cell
ΔH_f (0 K)   -0.91 eV/atom
DFT total energy   -6.28 eV per atom

***

Record 5
A plane-wave DFT calculation with PBE was carried out for Er5As4C after structural relaxation.

a b c (Å): 6.891 6.891 6.891
angles (deg): 99.88 99.88 131.06
Fractional coordinates of all 10 atoms:
Er: 0.000 0.000 0.000
Er: 0.193 0.371 0.636
Er: 0.371 0.735 0.178
Er: 0.557 0.193 0.822
Er: 0.735 0.557 0.364
As: 0.053 0.658 0.787
As: 0.266 0.053 0.396
As: 0.658 0.870 0.604
As: 0.870 0.266 0.213
C: 0.431 0.431 0.000

M_tot   0.00 μB per cell
ΔH_f (0 K)   -1.15 eV/atom
DFT total energy   -6.22 eV per atom

***

Record 6
A plane-wave DFT calculation with PBE was carried out for Er12As3C5 after structural relaxation.

a b c (Å): 13.217 13.217 13.217
angles (deg): 109.47 109.47 109.47
Fractional coordinates of all 80 atoms:
Er: 0.024 0.205 0.118
Er: 0.024 0.319 0.905
Er: 0.087 0.705 0.681
Er: 0.087 0.882 0.405
Er: 0.095 0.618 0.413
Er: 0.095 0.976 0.681
Er: 0.118 0.024 0.205
Er: 0.118 0.595 0.913
Er: 0.181 0.205 0.587
Er: 0.181 0.476 0.595
Er: 0.205 0.118 0.024
Er: 0.205 0.587 0.181
Er: 0.295 0.319 0.913
Er: 0.295 0.476 0.382
Er: 0.319 0.905 0.024
Er: 0.319 0.913 0.295
Er: 0.382 0.295 0.476
Er: 0.382 0.587 0.905
Er: 0.405 0.087 0.882
Er: 0.405 0.819 0.524
Er: 0.413 0.095 0.618
Er: 0.413 0.819 0.795
Er: 0.476 0.382 0.295
Er: 0.476 0.595 0.181
Er: 0.524 0.405 0.819
Er: 0.524 0.618 0.705
Er: 0.587 0.181 0.205
Er: 0.587 0.905 0.382
Er: 0.595 0.181 0.476
Er: 0.595 0.913 0.118
Er: 0.618 0.413 0.095
Er: 0.618 0.705 0.524
Er: 0.681 0.087 0.705
Er: 0.681 0.095 0.976
Er: 0.705 0.524 0.618
Er: 0.705 0.681 0.087
Er: 0.795 0.413 0.819
Er: 0.795 0.882 0.976
Er: 0.819 0.524 0.405
Er: 0.819 0.795 0.413
Er: 0.882 0.405 0.087
Er: 0.882 0.976 0.795
Er: 0.905 0.024 0.319
Er: 0.905 0.382 0.587
Er: 0.913 0.118 0.595
Er: 0.913 0.295 0.319
Er: 0.976 0.681 0.095
Er: 0.976 0.795 0.882
As: 0.125 0.250 0.375
As: 0.125 0.375 0.750
As: 0.250 0.375 0.125
As: 0.250 0.875 0.625
As: 0.375 0.125 0.250
As: 0.375 0.750 0.125
As: 0.625 0.250 0.875
As: 0.625 0.875 0.750
As: 0.750 0.125 0.375
As: 0.750 0.625 0.875
As: 0.875 0.625 0.250
As: 0.875 0.750 0.625
C: 0.000 0.000 0.000
C: 0.000 0.000 0.500
C: 0.000 0.500 0.000
C: 0.000 0.500 0.500
C: 0.125 0.750 0.875
C: 0.125 0.875 0.250
C: 0.250 0.125 0.875
C: 0.250 0.625 0.375
C: 0.375 0.250 0.625
C: 0.375 0.625 0.750
C: 0.500 0.000 0.000
C: 0.500 0.000 0.500
C: 0.500 0.500 0.000
C: 0.500 0.500 0.500
C: 0.625 0.375 0.250
C: 0.625 0.750 0.375
C: 0.750 0.375 0.625
C: 0.750 0.875 0.125
C: 0.875 0.125 0.750
C: 0.875 0.250 0.125

M_tot   0.00 μB per cell
ΔH_f (0 K)   -0.51 eV/atom
DFT total energy   -6.25 eV per atom

***

Record 7
A plane-wave DFT calculation with PBE was carried out for Er8As2C3 after structural relaxation.

a b c (Å): 7.856 7.856 6.300
angles (deg): 105.52 105.52 54.45
Fractional coordinates of all 13 atoms:
Er: 0.097 0.097 0.401
Er: 0.138 0.660 0.105
Er: 0.340 0.862 0.895
Er: 0.401 0.401 0.592
Er: 0.599 0.599 0.408
Er: 0.660 0.138 0.105
Er: 0.862 0.340 0.895
Er: 0.903 0.903 0.599
As: 0.254 0.254 0.825
As: 0.746 0.746 0.175
C: 0.000 0.000 0.000
C: 0.254 0.746 0.500
C: 0.746 0.254 0.500

M_tot   0.01 μB per cell
ΔH_f (0 K)   -0.59 eV/atom
DFT total energy   -6.24 eV per atom

***

Record 8
A plane-wave DFT calculation with PBE was carried out for Er4AsHC2 after structural relaxation.

a b c (Å): 6.300 6.300 12.493
angles (deg): 90.00 90.00 145.68
Fractional coordinates of all 16 atoms:
Er: 0.000 0.000 0.000
Er: 0.000 0.000 0.500
Er: 0.264 0.736 0.607
Er: 0.264 0.736 0.893
Er: 0.433 0.567 0.250
Er: 0.567 0.433 0.750
Er: 0.736 0.264 0.107
Er: 0.736 0.264 0.393
As: 0.113 0.887 0.250
As: 0.887 0.113 0.750
H: 0.157 0.843 0.750
H: 0.843 0.157 0.250
C: 0.366 0.634 0.060
C: 0.366 0.634 0.440
C: 0.634 0.366 0.560
C: 0.634 0.366 0.940

M_tot   0.00 μB per cell
DFT total energy   -6.33 eV per atom

***

Record 9
A plane-wave DFT calculation with PBE was carried out for Er8As3CS3 after structural relaxation.

a b c (Å): 7.894 7.894 7.894
angles (deg): 59.52 59.52 59.52
Fractional coordinates of all 15 atoms:
Er: 0.249 0.249 0.249
Er: 0.271 0.727 0.727
Er: 0.273 0.273 0.729
Er: 0.273 0.729 0.273
Er: 0.727 0.271 0.727
Er: 0.727 0.727 0.271
Er: 0.729 0.273 0.273
Er: 0.751 0.751 0.751
As: 0.000 0.500 0.500
As: 0.500 0.000 0.500
As: 0.500 0.500 0.000
C: 0.500 0.500 0.500
S: 0.000 0.000 0.500
S: 0.000 0.500 0.000
S: 0.500 0.000 0.000

M_tot   0.00 μB per cell
DFT total energy   -6.26 eV per atom

***

Record 10
A plane-wave DFT calculation with PBE was carried out for Er8As4CS3 after structural relaxation.

a b c (Å): 7.879 7.879 7.879
angles (deg): 60.11 60.11 60.11
Fractional coordinates of all 16 atoms:
Er: 0.250 0.250 0.250
Er: 0.265 0.734 0.734
Er: 0.266 0.266 0.735
Er: 0.266 0.735 0.266
Er: 0.734 0.265 0.734
Er: 0.734 0.734 0.265
Er: 0.735 0.266 0.266
Er: 0.750 0.750 0.750
As: 0.000 0.000 0.000
As: 0.000 0.500 0.500
As: 0.500 0.000 0.500
As: 0.500 0.500 0.000
C: 0.500 0.500 0.500
S: 0.000 0.000 0.500
S: 0.000 0.500 0.000
S: 0.500 0.000 0.000

M_tot   0.00 μB per cell
DFT total energy   -6.35 eV per atom

***

Record 11
A plane-wave DFT calculation with PBE was carried out for Er8As3CSe3 after structural relaxation.

a b c (Å): 8.017 8.017 8.017
angles (deg): 60.16 60.16 60.16
Fractional coordinates of all 15 atoms:
Er: 0.216 0.778 0.778
Er: 0.222 0.222 0.784
Er: 0.222 0.784 0.222
Er: 0.246 0.246 0.246
Er: 0.754 0.754 0.754
Er: 0.778 0.216 0.778
Er: 0.778 0.778 0.216
Er: 0.784 0.222 0.222
As: 0.000 0.000 0.500
As: 0.000 0.500 0.000
As: 0.500 0.000 0.000
C: 0.000 0.000 0.000
Se: 0.000 0.500 0.500
Se: 0.500 0.000 0.500
Se: 0.500 0.500 0.000

M_tot   0.00 μB per cell
DFT total energy   -6.04 eV per atom

***

Record 12
A plane-wave DFT calculation with PBE was carried out for Er6AsC2Se3 after structural relaxation.

a b c (Å): 8.785 8.785 7.957
angles (deg): 104.58 104.58 25.20
Fractional coordinates of all 12 atoms:
Er: 0.021 0.021 0.258
Er: 0.321 0.321 0.441
Er: 0.330 0.330 0.875
Er: 0.670 0.670 0.125
Er: 0.679 0.679 0.559
Er: 0.979 0.979 0.742
As: 0.500 0.500 0.000
C: 0.170 0.170 0.338
C: 0.830 0.830 0.662
Se: 0.162 0.162 0.832
Se: 0.500 0.500 0.500
Se: 0.838 0.838 0.168

M_tot   0.00 μB per cell
DFT total energy   -6.42 eV per atom

***

Record 13
A plane-wave DFT calculation with PBE was carried out for Er8Te3As3C after structural relaxation.

a b c (Å): 8.462 8.462 8.462
angles (deg): 57.56 57.56 57.56
Fractional coordinates of all 15 atoms:
Er: 0.238 0.238 0.238
Er: 0.271 0.713 0.713
Er: 0.287 0.287 0.729
Er: 0.287 0.729 0.287
Er: 0.713 0.271 0.713
Er: 0.713 0.713 0.271
Er: 0.729 0.287 0.287
Er: 0.762 0.762 0.762
Te: 0.000 0.500 0.500
Te: 0.500 0.000 0.500
Te: 0.500 0.500 0.000
As: 0.000 0.000 0.500
As: 0.000 0.500 0.000
As: 0.500 0.000 0.000
C: 0.500 0.500 0.500

M_tot   0.60 μB per cell
DFT total energy   -5.77 eV per atom

***

Record 14
A plane-wave DFT calculation with PBE was carried out for Er8Te4As3C after structural relaxation.

a b c (Å): 8.414 8.414 8.414
angles (deg): 58.18 58.18 58.18
Fractional coordinates of all 16 atoms:
Er: 0.239 0.239 0.239
Er: 0.263 0.720 0.720
Er: 0.280 0.280 0.737
Er: 0.280 0.737 0.280
Er: 0.720 0.263 0.720
Er: 0.720 0.720 0.263
Er: 0.737 0.280 0.280
Er: 0.761 0.761 0.761
Te: 0.000 0.000 0.000
Te: 0.000 0.500 0.500
Te: 0.500 0.000 0.500
Te: 0.500 0.500 0.000
As: 0.000 0.000 0.500
As: 0.000 0.500 0.000
As: 0.500 0.000 0.000
C: 0.500 0.500 0.500

M_tot   0.00 μB per cell
DFT total energy   -5.82 eV per atom

***

Record 15
A plane-wave DFT calculation with PBE was carried out for Er6Te3AsC2 after structural relaxation.

a b c (Å): 9.161 9.161 8.314
angles (deg): 106.34 106.34 24.72
Fractional coordinates of all 12 atoms:
Er: 0.027 0.027 0.250
Er: 0.317 0.317 0.448
Er: 0.331 0.331 0.865
Er: 0.669 0.669 0.135
Er: 0.683 0.683 0.552
Er: 0.973 0.973 0.750
Te: 0.160 0.160 0.832
Te: 0.500 0.500 0.500
Te: 0.840 0.840 0.168
As: 0.500 0.500 0.000
C: 0.171 0.171 0.339
C: 0.829 0.829 0.661

M_tot   0.00 μB per cell
DFT total energy   -6.06 eV per atom

***

Record 16
A plane-wave DFT calculation with PBE was carried out for As2CF after structural relaxation.

a b c (Å): 4.163 4.163 4.163
angles (deg): 60.00 60.00 60.00
Fractional coordinates of all 4 atoms:
As: 0.250 0.250 0.250
As: 0.750 0.750 0.750
C: 0.000 0.000 0.000
F: 0.500 0.500 0.500

M_tot   0.00 μB per cell
Offset from the most stable computed form   1.76 eV/f.u.
DFT total energy   -4.32 eV per atom

***

Record 17
A plane-wave DFT calculation with PBE was carried out for As2CF after structural relaxation.

a b c (Å): 5.898 5.898 5.898
angles (deg): 123.96 123.96 83.27
Fractional coordinates of all 8 atoms:
As: 0.066 0.625 0.941
As: 0.375 0.316 0.441
As: 0.684 0.125 0.059
As: 0.875 0.934 0.559
C: 0.000 0.000 0.000
C: 0.750 0.250 0.500
F: 0.250 0.750 0.500
F: 0.500 0.500 0.000

M_tot   0.00 μB per cell
Offset from the most stable computed form   0.00 eV/f.u.
DFT total energy   -4.76 eV per atom